# 1
This record from Alexandria via LeMat-Bulk describes an optimized crystal structure of Ac2Zn3HgAu4. The functional is PBE.

Magnetic moment   0.00 Bohr magnetons per cell
Crystal system   tetragonal
Formation energy from the elements   -529 meV per atom
VASP energy   -3.074 eV per atom

Lattice parameters (Å, degrees): 4.418 4.418 11.798 90.00 90.00 90.00
Space group P-4m2 (No. 115)
Symmetry-distinct sites (fractional):
Ac  0.000  0.500  0.242 [2 per cell]
Zn  0.000  0.500  0.876 [2 per cell]
Zn  0.500  0.500  0.500 [1 per cell]
Hg  0.000  0.000  0.500 [1 per cell]
Au  0.000  0.000  0.000 [1 per cell]
Au  0.000  0.500  0.656 [2 per cell]
Au  0.500  0.500  0.000 [1 per cell]

# 2
This record from Alexandria via LeMat-Bulk describes an optimized crystal structure of Ac3Zn2HgAu6. The functional is PBE.

Magnetic moment   0.00 Bohr magnetons per cell
Crystal system   trigonal
Formation energy from the elements   -429 meV per atom
VASP energy   -3.332 eV per atom

Lattice parameters (Å, degrees): 6.5107 6.5107 8.6011 90.00 90.00 120.00
Space group P-3m1 (No. 164)
Symmetry-distinct sites (fractional):
Ac  0.0000  0.0000  0.0000 [1 per cell]
Ac  0.3333  0.6667  0.6359 [2 per cell]
Zn  0.3333  0.6667  0.0208 [2 per cell]
Hg  0.0000  0.0000  0.5000 [1 per cell]
Au  0.1869  0.3737  0.2756 [6 per cell]

# 3
This record from Alexandria via LeMat-Bulk describes an optimized crystal structure of Ac2Zn4HgAu3. The functional is PBE.

Magnetic moment   0.00 Bohr magnetons per cell
Crystal system   tetragonal
Formation energy from the elements   -503 meV per atom
VASP energy   -2.847 eV per atom

Lattice parameters (Å, degrees): 4.461 4.461 11.354 90.00 90.00 90.00
Space group P-4m2 (No. 115)
Symmetry-distinct sites (fractional):
Ac  0.000  0.500  0.243 [2 per cell]
Zn  0.000  0.000  0.000 [1 per cell]
Zn  0.000  0.500  0.636 [2 per cell]
Zn  0.500  0.500  0.000 [1 per cell]
Hg  0.000  0.000  0.500 [1 per cell]
Au  0.000  0.500  0.867 [2 per cell]
Au  0.500  0.500  0.500 [1 per cell]

# 4
This record from Alexandria via LeMat-Bulk describes an optimized crystal structure of AcZn2HgAu2. The functional is PBE.

Magnetic moment   0.00 Bohr magnetons per cell
Crystal system   trigonal
Formation energy from the elements   -430 meV per atom
VASP energy   -2.682 eV per atom

Lattice parameters (Å, degrees): 4.6267 4.6267 7.2483 90.00 90.00 120.00
Space group P-3m1 (No. 164)
Symmetry-distinct sites (fractional):
Ac  0.0000  0.0000  0.0000 [1 per cell]
Zn  0.3333  0.6667  0.3152 [2 per cell]
Hg  0.0000  0.0000  0.5000 [1 per cell]
Au  0.3333  0.6667  0.7290 [2 per cell]

# 5
This record from Alexandria via LeMat-Bulk describes an optimized crystal structure of Ac2HoAu4. The functional is PBE.

Magnetic moment   0.00 Bohr magnetons per cell
Crystal system   tetragonal
Formation energy from the elements   -678 meV per atom
VASP energy   -4.379 eV per atom

Lattice parameters (Å, degrees): 5.464 5.464 13.436 90.00 90.00 90.00
Space group I4/mmm (No. 139)
Symmetry-distinct sites (fractional):
Ac  0.000  0.000  0.215 [4 per cell]
Ho  0.000  0.000  0.500 [2 per cell]
Au  0.000  0.500  0.107 [8 per cell]

# 6
This record from Alexandria via LeMat-Bulk describes an optimized crystal structure of AcHoAu2. The functional is PBE.

Magnetic moment   0.00 Bohr magnetons per cell
Crystal system   trigonal
Formation energy from the elements   -304 meV per atom
Energy above the most stable polymorph in this dataset   526.3 meV per atom
VASP energy   -4.115 eV per atom

Lattice parameters (Å, degrees): 3.9330 3.9330 29.2631 90.00 90.00 120.00
Space group R-3m (No. 166, hexagonal axes)
Symmetry-distinct sites (fractional):
Ac  0.0000  0.0000  0.0000 [3 per cell]
Ho  0.0000  0.0000  0.5000 [3 per cell]
Au  0.0000  0.0000  0.1057 [6 per cell]

# 7
This record from Alexandria via LeMat-Bulk describes an optimized crystal structure of AcHo2Au3. The functional is PBE.

Magnetic moment   0.00 Bohr magnetons per cell
Crystal system   tetragonal
Formation energy from the elements   -824 meV per atom
VASP energy   -4.673 eV per atom

Lattice parameters (Å, degrees): 3.666 3.666 11.189 90.00 90.00 90.00
Space group P4/mmm (No. 123)
Symmetry-distinct sites (fractional):
Ac  0.000  0.000  0.000 [1 per cell]
Ho  0.000  0.000  0.342 [2 per cell]
Au  0.500  0.500  0.198 [2 per cell]
Au  0.500  0.500  0.500 [1 per cell]

# 8
This record from Alexandria via LeMat-Bulk describes an optimized crystal structure of AcHo2Au. The functional is PBE.

Magnetic moment   0.00 Bohr magnetons per cell
Crystal system   tetragonal
Formation energy from the elements   -152 meV per atom
Energy above the most stable polymorph in this dataset   230.2 meV per atom
VASP energy   -4.287 eV per atom

Lattice parameters (Å, degrees): 4.782 4.782 5.142 90.00 90.00 90.00
Space group P4/mmm (No. 123)
Symmetry-distinct sites (fractional):
Ac  0.000  0.000  0.000 [1 per cell]
Ho  0.000  0.500  0.500 [2 per cell]
Au  0.500  0.500  0.000 [1 per cell]

# 9
This record from Alexandria via LeMat-Bulk describes an optimized crystal structure of Ac2HoAu. The functional is PBE.

Magnetic moment   0.00 Bohr magnetons per cell
Crystal system   trigonal
Formation energy from the elements   169 meV per atom
Energy above the most stable polymorph in this dataset   493.1 meV per atom
VASP energy   -3.849 eV per atom

Lattice parameters (Å, degrees): 3.8279 3.8279 35.9438 90.00 90.00 120.00
Space group R-3m (No. 166, hexagonal axes)
Symmetry-distinct sites (fractional):
Ac  0.0000  0.0000  0.0831 [6 per cell]
Ho  0.0000  0.0000  0.5000 [3 per cell]
Au  0.0000  0.0000  0.0000 [3 per cell]

# 10
This record from Alexandria via LeMat-Bulk describes an optimized crystal structure of AcHo2Au. The functional is PBE.

Magnetic moment   0.00 Bohr magnetons per cell
Crystal system   trigonal
Formation energy from the elements   -288 meV per atom
Energy above the most stable polymorph in this dataset   94.4 meV per atom
VASP energy   -4.423 eV per atom

Lattice parameters (Å, degrees): 3.9032 3.9032 29.8010 90.00 90.00 120.00
Space group R3m (No. 160, hexagonal axes)
Symmetry-distinct sites (fractional):
Ac  0.0000  0.0000  0.0000 [3 per cell]
Ho  0.0000  0.0000  0.2316 [3 per cell]
Ho  0.0000  0.0000  0.4399 [3 per cell]
Au  0.0000  0.0000  0.8363 [3 per cell]

# 11
This record from Alexandria via LeMat-Bulk describes an optimized crystal structure of AcHoAu4. The functional is PBE.

Magnetic moment   0.00 Bohr magnetons per cell
Crystal system   triclinic
Formation energy from the elements   -800 meV per atom
VASP energy   -4.432 eV per atom

Lattice parameters (Å, degrees): 4.220 5.048 7.727 100.81 90.15 114.52
Space group P-1 (No. 2)
Symmetry-distinct sites (fractional):
Ac  0.000  0.000  0.000 [1 per cell]
Ho  0.000  0.000  0.500 [1 per cell]
Au  0.336  0.674  0.679 [2 per cell]
Au  0.346  0.693  0.247 [2 per cell]

# 12
This record from Alexandria via LeMat-Bulk describes an optimized crystal structure of AcHoAu2. The functional is PBE.

Magnetic moment   0.00 Bohr magnetons per cell
Crystal system   trigonal
Formation energy from the elements   -719 meV per atom
Energy above the most stable polymorph in this dataset   111.4 meV per atom
VASP energy   -4.529 eV per atom

Lattice parameters (Å, degrees): 4.2377 4.2377 22.8036 90.00 90.00 120.00
Space group R3m (No. 160, hexagonal axes)
Symmetry-distinct sites (fractional):
Ac  0.0000  0.0000  0.0000 [3 per cell]
Ho  0.0000  0.0000  0.8290 [3 per cell]
Au  0.0000  0.0000  0.4243 [3 per cell]
Au  0.0000  0.0000  0.5709 [3 per cell]

# 13
This record from Alexandria via LeMat-Bulk describes an optimized crystal structure of AcHoAu2. The functional is PBE.

Magnetic moment   0.00 Bohr magnetons per cell
Crystal system   monoclinic
Formation energy from the elements   -831 meV per atom
Energy above the most stable polymorph in this dataset   0.0 meV per atom
VASP energy   -4.641 eV per atom

Lattice parameters (Å, degrees): 5.908 4.821 7.937 90.00 106.02 90.00
Space group P2_1/m (No. 11)
Symmetry-distinct sites (fractional):
Ac  0.226  0.250  0.431 [2 per cell]
Ho  0.227  0.250  0.940 [2 per cell]
Au  0.313  0.750  0.176 [2 per cell]
Au  0.334  0.750  0.740 [2 per cell]